DFT (PBE) results for a relaxed structure of Cs2FeRu.

abc: 5.412 5.412 5.412
angles: 60.00 60.00 60.00
Fractional positions:
1 Cs 0.250 0.250 0.250
2 Cs 0.750 0.750 0.750
3 Fe 0.000 0.000 0.000
4 Ru 0.500 0.500 0.500

Output
total energy = -2.896 eV/atom
calculated formation energy = 1966 meV/atom
space-group type = Fm-3m (225)

DFT (PBE) results for a relaxed structure of ZnNi2IrC.

abc: 3.830 3.830 3.986
angles: 90.00 90.00 90.00
Fractional positions:
1 Zn 0.000 0.000 0.000
2 Ni 0.000 0.500 0.500
3 Ni 0.500 0.000 0.500
4 Ir 0.500 0.500 0.000
5 C 0.500 0.500 0.500

Output
total energy = -6.188 eV/atom
calculated formation energy = -4 meV/atom
space-group type = P4/mmm (123)

DFT (PBE) results for a relaxed structure of PbW.

abc: 4.858 4.858 5.572
angles: 90.00 90.00 120.00
Fractional positions:
1 Pb 0.333 0.667 0.250
2 Pb 0.667 0.333 0.750
3 W 0.333 0.667 0.750
4 W 0.667 0.333 0.250

Output
total energy = -6.262 eV/atom
distance to the lowest polymorph of the same formula = 1574.5 meV/atom
calculated formation energy = 2069 meV/atom
space-group type = P6_3/mmc (194)

DFT (PBE) results for a relaxed structure of La4GeI2Cl.

abc: 7.340 4.360 8.303
angles: 90.00 108.25 90.00
Fractional positions:
1 La 0.228 0.000 0.200
2 La 0.258 0.500 0.797
3 La 0.742 0.500 0.203
4 La 0.772 0.000 0.800
5 Ge 0.500 0.000 0.000
6 I 0.000 0.000 0.500
7 I 0.500 0.500 0.500
8 Cl 0.000 0.500 0.000

Output
energy relative to the elements, uncorrected = -1.196 eV per atom
total energy = -4.855 eV/atom
space-group type = P2/m (10)

Q: Look up the total energy of the fourth one.
A: -4.855 eV/atom

Repeat the third record exactly.
DFT (PBE) results for a relaxed structure of PbW.

abc: 4.858 4.858 5.572
angles: 90.00 90.00 120.00
Fractional positions:
1 Pb 0.333 0.667 0.250
2 Pb 0.667 0.333 0.750
3 W 0.333 0.667 0.750
4 W 0.667 0.333 0.250

Output
total energy = -6.262 eV/atom
distance to the lowest polymorph of the same formula = 1574.5 meV/atom
calculated formation energy = 2069 meV/atom
space-group type = P6_3/mmc (194)